1.
Density functional theory data (GGA-PBE) for an optimized crystal structure of La6Ge2RhBr3.

The structure in extended XYZ format:
```
12
Lattice="4.333 0.000 0.000 0.000 9.083 0.269 -2.166 -2.664 9.234" Properties=species:S:1:pos:R:3 pbc="T T T"
La 2.166 4.393 9.375
Br 0.000 6.694 3.440
La 0.000 2.026 0.128
La 0.000 2.163 6.142
Ge 0.000 2.198 3.111
Ge 2.166 4.221 6.392
La 2.166 0.109 2.800
Br 2.166 -0.275 6.063
Br 2.166 4.542 0.134
La 0.000 6.310 6.703
Rh 2.166 0.000 0.000
La 2.166 4.256 3.361
```



2.
Density functional theory data (GGA-PBE) for an optimized crystal structure of La8GeRh3Br4.

The structure in extended XYZ format:
```
16
Lattice="8.544 0.000 0.000 0.000 9.210 0.464 -4.272 -4.276 6.048" Properties=species:S:1:pos:R:3 pbc="T T T"
La 0.000 4.390 3.218
La 2.055 2.332 6.132
La 4.272 0.544 3.294
Br 2.136 -2.138 3.024
Br -2.136 -2.138 3.024
La -2.055 2.332 6.132
Br 4.272 0.000 0.000
Rh 4.272 4.605 0.232
Ge 0.000 4.605 0.232
La 4.272 4.465 3.163
La 6.327 2.602 0.380
La 2.217 2.602 0.380
Br 0.000 0.000 0.000
Rh 2.136 2.467 3.256
La 0.000 0.469 3.348
Rh -2.136 2.467 3.256
```



3.
Density functional theory data (GGA-PBE) for an optimized crystal structure of La8GeRu3Br4.

The structure in extended XYZ format:
```
16
Lattice="-5.091 0.097 -6.816 -0.362 -9.220 0.139 -2.291 4.125 7.080" Properties=species:S:1:pos:R:3 pbc="T T T"
Br -3.691 2.111 0.132
La -5.179 -0.609 -1.450
Br -1.146 2.063 3.540
La -5.088 -4.512 -1.574
Ru -1.327 -2.547 3.610
La -1.672 -2.615 -1.576
Ru -3.872 -2.499 0.202
La -6.072 -2.383 1.979
La -3.654 -2.429 5.217
La -2.657 -0.486 1.977
La -4.090 -2.569 -4.814
Br -2.546 0.048 -3.408
Ge -0.181 -4.610 0.070
Br 0.000 0.000 0.000
La -2.565 -4.389 1.853
Ru -2.727 -4.562 -3.339
```



The records above give, respectively, final energy values of -5.44; -5.69; -5.90 eV/atom.